{
  "formula": "LiLaZn",
  "functional": "PBE",
  "state": "relaxed",
  "lattice": [[0.0000, 3.4783, 3.4783], [3.4783, 0.0000, 3.4783], [3.4783, 3.4783, 0.0000]],
  "species": ["Li", "La", "Zn"],
  "frac_coords": [[0.0000, 0.0000, 0.0000], [0.5000, 0.5000, 0.5000], [0.2500, 0.2500, 0.2500]],
  "n_ef_per_ev_atom": 1.65,
  "e_above_lowest_polymorph_mev_per_atom": 202,
  "delta_e_f_mev_per_atom": 32,
  "mass_density_g_cm3": 4.168,
  "magmom_total_mub_per_fu": 0.00,
  "sg": "F-43m, No. 216",
  "e_tot_ev_per_cell": -8.0
}